Entry 1:
A geometry-optimized BaBeBi structure. Source: Alexandria via LeMat-Bulk, functional PBE-GGA.

Cell: 6.1285 4.3149 7.3923 Å, 90.00 103.19 90.00°
Last column: nearest neighbours and their distance in Å.
Element x y z (fractional)
1 Ba 0.1936 0.2500 0.2498  4 Be 3.36-3.43, 3 Bi 3.67-3.68
2 Ba 0.8064 0.7500 0.7502  4 Be 3.36-3.43, 3 Bi 3.67-3.68
3 Be 0.3661 0.7500 0.9639  3 Bi 2.57-2.62, 2 Be 2.69
4 Be 0.6339 0.2500 0.0361  3 Bi 2.57-2.62, 2 Be 2.69
5 Bi 0.2944 0.2500 0.7587  3 Be 2.57-2.62
6 Bi 0.7056 0.7500 0.2413  3 Be 2.57-2.62

Computed properties:
Energy of formation (meV/atom): -250.8
E (eV/atom): -3.43


Entry 2:
A geometry-optimized Pm7Dy structure. Source: Alexandria via LeMat-Bulk, functional PBE-GGA.

Cell: 7.2660 7.2660 7.2660 Å, 60.00 60.00 60.00°
Last column: nearest neighbours and their distance in Å.
Element x y z (fractional)
1 Pm 0.0000 0.0000 0.0000  12 Pm 3.63
2 Pm 0.0000 0.0000 0.5000  10 Pm 3.63, 2 Dy 3.63
3 Pm 0.0000 0.5000 0.0000  10 Pm 3.63, 2 Dy 3.63
4 Pm 0.0000 0.5000 0.5000  2 Dy 3.63, 10 Pm 3.63
5 Pm 0.5000 0.0000 0.0000  10 Pm 3.63, 2 Dy 3.63
6 Pm 0.5000 0.0000 0.5000  2 Dy 3.63, 10 Pm 3.63
7 Pm 0.5000 0.5000 0.0000  2 Dy 3.63, 10 Pm 3.63
8 Dy 0.5000 0.5000 0.5000  12 Pm 3.63

Computed properties:
Energy of formation (meV/atom): 9.2
E (eV/atom): -4.72


Entry 3:
A geometry-optimized Rb2SrTiI6 structure. Source: Alexandria via LeMat-Bulk, functional PBE-GGA.

Cell: 8.6314 8.6314 8.6314 Å, 60.00 60.00 60.00°
Last column: nearest neighbours and their distance in Å.
Element x y z (fractional)
1 Rb 0.2500 0.2500 0.2500  12 I 4.32
2 Rb 0.7500 0.7500 0.7500  12 I 4.32
3 Sr 0.0000 0.0000 0.0000  6 I 3.22
4 Ti 0.5000 0.5000 0.5000  6 I 2.89
5 I 0.2634 0.2634 0.7366  1 Ti 2.89, 1 Sr 3.22
6 I 0.2634 0.7366 0.2634  1 Ti 2.89, 1 Sr 3.22
7 I 0.2634 0.7366 0.7366  1 Ti 2.89, 1 Sr 3.22
8 I 0.7366 0.2634 0.2634  1 Ti 2.89, 1 Sr 3.22
9 I 0.7366 0.2634 0.7366  1 Ti 2.89, 1 Sr 3.22
10 I 0.7366 0.7366 0.2634  1 Ti 2.89, 1 Sr 3.22

Computed properties:
E_form (uncorrected) (meV per atom): -1224
E (eV/atom): -3.31


Entry 4:
A geometry-optimized Cs4CoS4 structure. Source: Alexandria via LeMat-Bulk, functional PBE-GGA.

Cell: 8.8718 8.8718 8.8718 Å, 125.66 125.66 80.44°
Last column: nearest neighbours and their distance in Å.
Element x y z (fractional)
1 Cs 0.0000 0.5000 0.5000  4 S 3.32
2 Cs 0.2039 0.2039 0.0000  2 S 3.26
3 Cs 0.5000 0.0000 0.5000  4 S 3.32
4 Cs 0.7961 0.7961 0.0000  2 S 3.26
5 Co 0.5000 0.5000 0.0000  4 S 2.23
6 S 0.2457 0.5626 0.0000  1 Co 2.23
7 S 0.4374 0.4374 0.6831  1 Co 2.23
8 S 0.5626 0.2457 0.0000  1 Co 2.23
9 S 0.7543 0.7543 0.3169  1 Co 2.23

Computed properties:
E_form (uncorrected) (meV per atom): -731
E (eV/atom): -3.73


Entry 5:
A geometry-optimized RbInN2 structure. Source: Alexandria via LeMat-Bulk, functional PBE-GGA.

Cell: 3.8958 4.8624 11.7616 Å, 95.38 99.47 90.06°
Last column: nearest neighbours and their distance in Å.
Element x y z (fractional)
1 Rb 0.1467 0.0562 0.2960  5 N 3.06-3.18
2 Rb 0.8533 0.9438 0.7040  5 N 3.06-3.18
3 In 0.0000 0.5000 0.0000  4 In 3.11-3.12
4 In 0.5000 0.0000 0.0000  4 In 3.11-3.12
5 N 0.2770 0.2781 0.5516  1 N 1.15
6 N 0.3082 0.4786 0.6129  1 N 1.15
7 N 0.6918 0.5214 0.3871  1 N 1.15
8 N 0.7230 0.7219 0.4484  1 N 1.15

Computed properties:
E_form (uncorrected) (meV per atom): -53
E (eV/atom): -5.14


Entry 6:
A geometry-optimized Pm8SiGe5 structure. Source: Alexandria via LeMat-Bulk, functional PBE-GGA.

Cell: 7.8796 7.8796 7.8796 Å, 109.45 109.45 109.51°
Last column: nearest neighbours and their distance in Å.
Element x y z (fractional)
1 Pm 0.1245 0.2433 0.7504  5 Ge 2.98-3.33, 1 Si 3.32
2 Pm 0.1243 0.7454 0.7507  1 Si 2.97, 2 Ge 2.98
3 Pm 0.2546 0.0053 0.3789  1 Si 2.97, 2 Ge 2.98
4 Pm 0.4930 0.3741 0.2496  5 Ge 2.98-3.33, 1 Si 3.32
5 Pm 0.6259 0.8755 0.1189  5 Ge 2.98-3.33, 1 Si 3.32
6 Pm 0.6265 0.8757 0.6211  1 Si 2.97, 2 Ge 2.98
7 Pm 0.7567 0.5070 0.8811  5 Ge 2.98-3.33, 1 Si 3.32
8 Pm 0.9947 0.3735 0.2493  1 Si 2.97, 2 Ge 2.98
9 Si 0.0000 0.0000 0.0000  8 Pm 2.97-3.32
10 Ge 0.2502 0.6250 0.1249  7 Pm 2.98-3.33
11 Ge 0.3750 0.4999 0.6253  7 Pm 2.98-3.33
12 Ge 0.5001 0.1254 0.8751  7 Pm 2.98-3.33
13 Ge 0.7500 0.2500 0.5000  8 Pm 2.98-3.34
14 Ge 0.8746 0.7498 0.3747  7 Pm 2.98-3.33

Computed properties:
E_form (uncorrected) (meV per atom): -804
E (eV/atom): -5.56


Entry 7:
A geometry-optimized KRe2B structure. Source: Alexandria via LeMat-Bulk, functional PBE-GGA.

Cell: 6.3721 6.3721 9.0358 Å, 90.00 90.00 90.00°
Last column: nearest neighbours and their distance in Å.
Element x y z (fractional)
1 K 0.0000 0.2500 0.3750  12 Re 3.74, 4 K 3.91, 4 B 3.91
2 K 0.0000 0.7500 0.6250  12 Re 3.74, 4 K 3.91, 4 B 3.91
3 K 0.5000 0.2500 0.1250  12 Re 3.74, 4 K 3.91, 4 B 3.91
4 K 0.5000 0.7500 0.8750  12 Re 3.74, 4 K 3.91, 4 B 3.91
5 Re 0.0000 0.0000 0.0000  2 B 1.95
6 Re 0.0000 0.5000 0.0000  2 B 1.95
7 Re 0.2500 0.2500 0.7500  2 B 1.95
8 Re 0.2500 0.7500 0.2500  2 B 1.95
9 Re 0.5000 0.0000 0.5000  2 B 1.95
10 Re 0.5000 0.5000 0.5000  2 B 1.95
11 Re 0.7500 0.2500 0.7500  2 B 1.95
12 Re 0.7500 0.7500 0.2500  2 B 1.95
13 B 0.0000 0.2500 0.8750  4 Re 1.95
14 B 0.0000 0.7500 0.1250  4 Re 1.95
15 B 0.5000 0.2500 0.6250  4 Re 1.95
16 B 0.5000 0.7500 0.3750  4 Re 1.95

Computed properties:
Energy of formation (meV/atom): 1606.0
E (eV/atom): -6.56


Entry 8:
A geometry-optimized CaCo2As structure. Source: Alexandria via LeMat-Bulk, functional PBE-GGA.

Cell: 3.0403 3.7986 5.9561 Å, 90.00 103.78 90.00°
Last column: nearest neighbours and their distance in Å.
Element x y z (fractional)
1 Ca 0.0000 0.0000 0.0000  2 As 3.00, 8 Co 3.02-3.08, 2 Ca 3.04
2 Co 0.3331 0.5000 0.6831  2 As 2.31
3 Co 0.6669 0.5000 0.3169  2 As 2.31
4 As 0.5000 0.0000 0.5000  4 Co 2.31

Computed properties:
Energy of formation (meV/atom): 101.6
E (eV/atom): -5.11